[1]
Computed, not measured: Mn6AgPd12 after structural relaxation at the GGA-PBE level of DFT.

Cell lengths 6.6384, 6.6384, 6.6384 Å; angles 98.78, 98.78, 98.78 degrees
With the nearest neighbours (Å) after each atom.
Positions (direct):
Mn: 0.0338 0.2003 0.7927  2 Mn 2.07
Mn: 0.2003 0.7927 0.0338  2 Mn 2.07
Mn: 0.2073 0.9662 0.7997  2 Mn 2.07
Mn: 0.7927 0.0338 0.2003  2 Mn 2.07
Mn: 0.7997 0.2073 0.9662  2 Mn 2.07
Mn: 0.9662 0.7997 0.2073  2 Mn 2.07
Ag: 0.5000 0.5000 0.5000  12 Pd 2.75-2.92
Pd: 0.1323 0.1767 0.4349  3 Mn 2.50-2.69, 2 Pd 2.75-2.79
Pd: 0.1581 0.5684 0.6705  3 Mn 2.59-2.74, 6 Pd 2.75-2.83, 1 Ag 2.75
Pd: 0.1767 0.4349 0.1323  3 Mn 2.50-2.69, 2 Pd 2.75-2.79
Pd: 0.3295 0.8419 0.4316  3 Mn 2.59-2.74, 6 Pd 2.75-2.83, 1 Ag 2.75
Pd: 0.4316 0.3295 0.8419  3 Mn 2.59-2.74, 6 Pd 2.75-2.83, 1 Ag 2.75
Pd: 0.4349 0.1323 0.1767  3 Mn 2.50-2.69, 2 Pd 2.75-2.79
Pd: 0.5651 0.8677 0.8233  3 Mn 2.50-2.69, 2 Pd 2.75-2.79
Pd: 0.5684 0.6705 0.1581  3 Mn 2.59-2.74, 6 Pd 2.75-2.83, 1 Ag 2.75
Pd: 0.6705 0.1581 0.5684  3 Mn 2.59-2.74, 6 Pd 2.75-2.83, 1 Ag 2.75
Pd: 0.8233 0.5651 0.8677  3 Mn 2.50-2.69, 2 Pd 2.75-2.79
Pd: 0.8419 0.4316 0.3295  3 Mn 2.59-2.74, 6 Pd 2.75-2.83, 1 Ag 2.75
Pd: 0.8677 0.8233 0.5651  3 Mn 2.50-2.69, 2 Pd 2.75-2.79

M_tot ... 0.000 μB/f.u.
Formation energy ... 0.21 eV/atom
E ... -116.277 eV per cell

***

[2]
Computed, not measured: MnAg3Pd4 after structural relaxation at the GGA-PBE level of DFT.

Cell lengths 8.2805, 8.2805, 8.2805 Å; angles 151.49, 151.49, 40.76 degrees
With the nearest neighbours (Å) after each atom.
Positions (direct):
Mn: 0.0000 0.0000 0.0000  8 Pd 2.77, 4 Ag 2.88
Ag: 0.2504 0.2504 0.0000  8 Pd 2.86-2.87, 4 Ag 2.88
Ag: 0.5000 0.5000 0.0000  8 Pd 2.77, 4 Mn 2.88
Ag: 0.7496 0.7496 0.0000  8 Pd 2.86-2.87, 4 Ag 2.88
Pd: 0.1203 0.6203 0.5000  2 Mn 2.77, 6 Ag 2.77-2.87, 4 Pd 2.88
Pd: 0.3797 0.8797 0.5000  2 Mn 2.77, 6 Ag 2.77-2.87, 4 Pd 2.88
Pd: 0.6203 0.1203 0.5000  2 Mn 2.77, 6 Ag 2.77-2.87, 4 Pd 2.88
Pd: 0.8797 0.3797 0.5000  2 Mn 2.77, 6 Ag 2.77-2.87, 4 Pd 2.88

M_tot ... 4.661 μB/f.u.
Formation energy ... -0.09 eV/atom
E ... -39.246 eV per cell

***

[3]
Computed, not measured: MnAgPd3 after structural relaxation at the GGA-PBE level of DFT.

Cell lengths 6.7664, 6.7664, 5.6281 Å; angles 90.00, 90.00, 140.80 degrees
With the nearest neighbours (Å) after each atom.
Positions (direct):
Mn: 0.1264 0.8736 0.7500  8 Pd 2.76-2.78, 3 Ag 2.82-3.08
Mn: 0.8736 0.1264 0.2500  8 Pd 2.76-2.78, 3 Ag 2.82-3.08
Ag: 0.1148 0.8852 0.2500  8 Pd 2.73-2.89, 2 Mn 2.82
Ag: 0.8852 0.1148 0.7500  8 Pd 2.73-2.89, 2 Mn 2.82
Pd: 0.3129 0.6871 0.5010  6 Pd 2.73-2.82, 3 Mn 2.76-2.78, 3 Ag 2.82-2.89
Pd: 0.3129 0.6871 0.9990  6 Pd 2.73-2.82, 3 Mn 2.76-2.78, 3 Ag 2.82-2.89
Pd: 0.4962 0.5038 0.2500  2 Ag 2.73, 6 Pd 2.73-2.82, 2 Mn 2.76
Pd: 0.5038 0.4962 0.7500  2 Ag 2.73, 6 Pd 2.73-2.82, 2 Mn 2.76
Pd: 0.6871 0.3129 0.0010  6 Pd 2.73-2.82, 3 Mn 2.76-2.78, 3 Ag 2.82-2.89
Pd: 0.6871 0.3129 0.4990  6 Pd 2.73-2.82, 3 Mn 2.76-2.78, 3 Ag 2.82-2.89

M_tot ... 4.768 μB/f.u.
ΔE to the lowest computed polymorph ... 80.2 meV per atom
Formation energy ... -0.05 eV/atom
E ... -55.689 eV per cell

***

[4]
Computed, not measured: MnAgPd4 after structural relaxation at the GGA-PBE level of DFT.

Cell lengths 5.5809, 5.5809, 7.0307 Å; angles 101.01, 101.01, 61.55 degrees
With the nearest neighbours (Å) after each atom.
Positions (direct):
Mn: 0.1315 0.1315 0.3284  9 Pd 2.75-2.82, 3 Ag 2.86-2.88
Mn: 0.8685 0.8685 0.6716  9 Pd 2.75-2.82, 3 Ag 2.86-2.88
Ag: 0.3657 0.3657 0.6661  9 Pd 2.78-2.85, 3 Mn 2.86-2.88
Ag: 0.6343 0.6343 0.3339  9 Pd 2.78-2.85, 3 Mn 2.86-2.88
Pd: 0.1301 0.6384 0.3350  3 Mn 2.77-2.82, 3 Ag 2.78-2.80, 6 Pd 2.79-2.90
Pd: 0.2462 0.7538 0.0000  2 Mn 2.76, 8 Pd 2.77-2.90, 2 Ag 2.82
Pd: 0.2495 0.2495 0.0057  1 Mn 2.75, 10 Pd 2.77-2.86, 1 Ag 2.85
Pd: 0.3616 0.8699 0.6650  3 Mn 2.77-2.82, 3 Ag 2.78-2.80, 6 Pd 2.79-2.90
Pd: 0.6384 0.1301 0.3350  3 Mn 2.77-2.82, 3 Ag 2.78-2.80, 6 Pd 2.79-2.90
Pd: 0.7505 0.7505 0.9943  1 Mn 2.75, 10 Pd 2.77-2.86, 1 Ag 2.85
Pd: 0.7538 0.2462 0.0000  2 Mn 2.76, 8 Pd 2.77-2.90, 2 Ag 2.82
Pd: 0.8699 0.3616 0.6650  3 Mn 2.77-2.82, 3 Ag 2.78-2.80, 6 Pd 2.79-2.90

M_tot ... 4.945 μB/f.u.
ΔE to the lowest computed polymorph ... 0.0 meV per atom
Formation energy ... -0.12 eV/atom
E ... -67.040 eV per cell

***

[5]
Computed, not measured: Mn3AgPd12 after structural relaxation at the GGA-PBE level of DFT.

Cell lengths 3.9426, 3.9426, 15.7718 Å; angles 90.00, 90.00, 90.00 degrees
With the nearest neighbours (Å) after each atom.
Positions (direct):
Mn: 0.0000 0.0000 0.0000  12 Pd 2.77-2.79
Mn: 0.0000 0.0000 0.2474  12 Pd 2.76-2.79
Mn: 0.0000 0.0000 0.7526  12 Pd 2.76-2.79
Ag: 0.0000 0.0000 0.5000  12 Pd 2.79-2.85
Pd: 0.0000 0.5000 0.1236  8 Pd 2.77-2.79, 4 Mn 2.77-2.78
Pd: 0.0000 0.5000 0.3699  2 Mn 2.76, 8 Pd 2.77-2.85, 2 Ag 2.85
Pd: 0.0000 0.5000 0.6301  2 Mn 2.76, 8 Pd 2.77-2.85, 2 Ag 2.85
Pd: 0.0000 0.5000 0.8764  8 Pd 2.77-2.79, 4 Mn 2.77-2.78
Pd: 0.5000 0.0000 0.1236  8 Pd 2.77-2.79, 4 Mn 2.77-2.78
Pd: 0.5000 0.0000 0.3699  2 Mn 2.76, 8 Pd 2.77-2.85, 2 Ag 2.85
Pd: 0.5000 0.0000 0.6301  2 Mn 2.76, 8 Pd 2.77-2.85, 2 Ag 2.85
Pd: 0.5000 0.0000 0.8764  8 Pd 2.77-2.79, 4 Mn 2.77-2.78
Pd: 0.5000 0.5000 0.0000  8 Pd 2.77, 4 Mn 2.79
Pd: 0.5000 0.5000 0.2469  8 Pd 2.77, 4 Mn 2.79
Pd: 0.5000 0.5000 0.5000  4 Ag 2.79, 8 Pd 2.85
Pd: 0.5000 0.5000 0.7531  8 Pd 2.77, 4 Mn 2.79

M_tot ... 14.180 μB/f.u.
Formation energy ... -0.17 eV/atom
E ... -95.384 eV per cell

***

[6]
Computed, not measured: MnAg2Pd2 after structural relaxation at the GGA-PBE level of DFT.

Cell lengths 6.6403, 6.6403, 4.0299 Å; angles 90.00, 90.00, 90.00 degrees
With the nearest neighbours (Å) after each atom.
Positions (direct):
Mn: 0.0000 0.0000 0.0000  4 Pd 2.56
Mn: 0.5000 0.5000 0.0000  4 Pd 2.56
Ag: 0.1608 0.3392 0.5000  6 Pd 2.74-2.85, 1 Ag 3.02
Ag: 0.3392 0.8392 0.5000  6 Pd 2.74-2.85, 1 Ag 3.02
Ag: 0.6608 0.1608 0.5000  6 Pd 2.74-2.85, 1 Ag 3.02
Ag: 0.8392 0.6608 0.5000  6 Pd 2.74-2.85, 1 Ag 3.02
Pd: 0.1412 0.6412 0.0000  2 Mn 2.56, 1 Pd 2.65, 6 Ag 2.74-2.85
Pd: 0.3588 0.1412 0.0000  2 Mn 2.56, 1 Pd 2.65, 6 Ag 2.74-2.85
Pd: 0.6412 0.8588 0.0000  2 Mn 2.56, 1 Pd 2.65, 6 Ag 2.74-2.85
Pd: 0.8588 0.3588 0.0000  2 Mn 2.56, 1 Pd 2.65, 6 Ag 2.74-2.85

M_tot ... 4.847 μB/f.u.
ΔE to the lowest computed polymorph ... 0.0 meV per atom
Formation energy ... 0.10 eV/atom
E ... -49.493 eV per cell

***

[7]
Computed, not measured: MnAg2Pd6 after structural relaxation at the GGA-PBE level of DFT.

Cell lengths 7.4070, 7.4070, 4.6912 Å; angles 98.87, 98.87, 141.57 degrees
With the nearest neighbours (Å) after each atom.
Positions (direct):
Mn: 0.0000 0.0000 0.0000  8 Pd 2.59-2.72
Ag: 0.1747 0.8253 0.5000  10 Pd 2.73-2.94
Ag: 0.8253 0.1747 0.5000  10 Pd 2.73-2.94
Pd: 0.1653 0.4776 0.1552  1 Mn 2.59, 4 Pd 2.69-2.87, 3 Ag 2.73-2.77
Pd: 0.3132 0.3132 0.6564  3 Mn 2.69-2.96, 5 Pd 2.69-2.87, 2 Ag 2.79
Pd: 0.4776 0.1653 0.1552  1 Mn 2.59, 4 Pd 2.69-2.87, 3 Ag 2.73-2.77
Pd: 0.5224 0.8347 0.8448  1 Mn 2.59, 4 Pd 2.69-2.87, 3 Ag 2.73-2.77
Pd: 0.6868 0.6868 0.3436  3 Mn 2.69-2.96, 5 Pd 2.69-2.87, 2 Ag 2.79
Pd: 0.8347 0.5224 0.8448  1 Mn 2.59, 4 Pd 2.69-2.87, 3 Ag 2.73-2.77

M_tot ... 0.386 μB/f.u.
ΔE to the lowest computed polymorph ... 170.3 meV per atom
Formation energy ... 0.17 eV/atom
E ... -44.499 eV per cell

***

[8]
Computed, not measured: MnAgPd4 after structural relaxation at the GGA-PBE level of DFT.

Cell lengths 2.8375, 3.8995, 8.4975 Å; angles 90.00, 90.00, 90.00 degrees
With the nearest neighbours (Å) after each atom.
Positions (direct):
Mn: 0.0000 0.0000 0.0000  10 Pd 2.76-2.77, 2 Mn 2.84
Ag: 0.5000 0.5000 0.5000  10 Pd 2.83-2.89, 2 Ag 2.84
Pd: 0.0000 0.0000 0.3253  1 Mn 2.76, 7 Pd 2.79-2.97, 4 Ag 2.83
Pd: 0.0000 0.0000 0.6747  1 Mn 2.76, 7 Pd 2.79-2.97, 4 Ag 2.83
Pd: 0.5000 0.5000 0.1596  7 Pd 2.71-2.84, 4 Mn 2.77, 1 Ag 2.89
Pd: 0.5000 0.5000 0.8404  7 Pd 2.71-2.84, 4 Mn 2.77, 1 Ag 2.89

M_tot ... 4.585 μB/f.u.
ΔE to the lowest computed polymorph ... 17.1 meV per atom
Formation energy ... -0.10 eV/atom
E ... -33.417 eV per cell

***

[9]
Computed, not measured: Mn2AgPd6 after structural relaxation at the GGA-PBE level of DFT.

Cell lengths 4.7964, 4.7964, 8.3232 Å; angles 105.20, 105.20, 49.57 degrees
With the nearest neighbours (Å) after each atom.
Positions (direct):
Mn: 0.1744 0.1744 0.2289  10 Pd 2.73-2.83, 2 Ag 2.88
Mn: 0.8256 0.8256 0.7711  10 Pd 2.73-2.83, 2 Ag 2.88
Ag: 0.5000 0.5000 0.0000  8 Pd 2.77-2.80, 4 Mn 2.88
Pd: 0.1642 0.1642 0.8887  3 Ag 2.78-2.80, 5 Pd 2.78-2.85, 4 Mn 2.79-2.83
Pd: 0.1660 0.1660 0.5547  3 Mn 2.73-2.79, 9 Pd 2.77-2.82
Pd: 0.4975 0.4975 0.6661  3 Mn 2.74-2.79, 8 Pd 2.77-2.83, 1 Ag 2.77
Pd: 0.5025 0.5025 0.3339  3 Mn 2.74-2.79, 8 Pd 2.77-2.83, 1 Ag 2.77
Pd: 0.8340 0.8340 0.4453  3 Mn 2.73-2.79, 9 Pd 2.77-2.82
Pd: 0.8358 0.8358 0.1113  3 Ag 2.78-2.80, 5 Pd 2.78-2.85, 4 Mn 2.79-2.83

M_tot ... 9.638 μB/f.u.
Formation energy ... -0.16 eV/atom
E ... -53.810 eV per cell

***

[10]
Computed, not measured: Mn2AgPd7 after structural relaxation at the GGA-PBE level of DFT.

Cell lengths 7.3353, 7.3353, 4.2414 Å; angles 90.00, 90.00, 121.26 degrees
With the nearest neighbours (Å) after each atom.
Positions (direct):
Mn: 0.1967 0.8033 0.0000  5 Pd 2.44-2.51
Mn: 0.8033 0.1967 0.0000  5 Pd 2.44-2.51
Ag: 0.5000 0.5000 0.5000  10 Pd 2.68-2.90
Pd: 0.0000 0.0000 0.0000  2 Mn 2.51, 4 Pd 2.68
Pd: 0.1990 0.4267 0.0000  2 Mn 2.49-2.77, 2 Pd 2.68-2.69
Pd: 0.2904 0.7096 0.5000  2 Mn 2.44, 1 Ag 2.68
Pd: 0.4267 0.1990 0.0000  2 Mn 2.49-2.77, 2 Pd 2.68-2.69
Pd: 0.5733 0.8010 0.0000  2 Mn 2.49-2.77, 2 Pd 2.68-2.69
Pd: 0.7096 0.2904 0.5000  2 Mn 2.44, 1 Ag 2.68
Pd: 0.8010 0.5733 0.0000  2 Mn 2.49-2.77, 2 Pd 2.68-2.69

M_tot ... 9.002 μB/f.u.
Formation energy ... 0.40 eV/atom
E ... -53.552 eV per cell

***

[11]
Computed, not measured: MnAg2Pd5 after structural relaxation at the GGA-PBE level of DFT.

Cell lengths 8.4706, 8.4706, 8.4706 Å; angles 152.83, 152.83, 38.80 degrees
With the nearest neighbours (Å) after each atom.
Positions (direct):
Mn: 0.0000 0.0000 0.0000  12 Pd 2.76-2.81
Ag: 0.2501 0.2501 0.0000  4 Ag 2.81, 8 Pd 2.88
Ag: 0.7499 0.7499 0.0000  4 Ag 2.81, 8 Pd 2.88
Pd: 0.1194 0.6194 0.5000  2 Mn 2.76, 6 Pd 2.76-2.81, 4 Ag 2.88
Pd: 0.3806 0.8806 0.5000  6 Pd 2.76-2.81, 2 Mn 2.76, 4 Ag 2.88
Pd: 0.5000 0.5000 0.0000  8 Pd 2.76, 4 Mn 2.81
Pd: 0.6194 0.1194 0.5000  2 Mn 2.76, 6 Pd 2.76-2.81, 4 Ag 2.88
Pd: 0.8806 0.3806 0.5000  6 Pd 2.76-2.81, 2 Mn 2.76, 4 Ag 2.88

M_tot ... 4.607 μB/f.u.
Formation energy ... -0.12 eV/atom
E ... -41.817 eV per cell

***

[12]
Computed, not measured: MnAgSbPd after structural relaxation at the GGA-PBE level of DFT.

Cell lengths 4.6355, 4.6355, 4.6355 Å; angles 60.00, 60.00, 60.00 degrees
With the nearest neighbours (Å) after each atom.
Positions (direct):
Mn: 0.0000 0.0000 0.0000  4 Sb 2.84, 4 Ag 2.84
Ag: 0.2500 0.2500 0.2500  4 Mn 2.84, 4 Pd 2.84
Sb: 0.7500 0.7500 0.7500  4 Mn 2.84, 4 Pd 2.84
Pd: 0.5000 0.5000 0.5000  4 Sb 2.84, 4 Ag 2.84

Formation energy from raw total energies ... -0.0499 eV/atom
M_tot ... 3.761 μB/f.u.
E ... -21.536 eV per cell